# 1
Here is LaGdBe after structural relaxation from Alexandria via LeMat-Bulk. Energies are from PBE-GGA.

Calculated values
Space group = I4mm
Formation energy = 126 meV/atom

a = 6.613 Å, b = 6.613 Å, c = 6.613 Å
α = 148.50°, β = 148.50°, γ = 45.15°
Fractional coordinates of all 3 atoms:
La 0.000 0.000 0.000
Gd 0.729 0.729 0.000
Be 0.353 0.353 0.000

=====

# 2
Here is LaGd2Be after structural relaxation from Alexandria via LeMat-Bulk. Energies are from PBE-GGA.

Calculated values
Space group = R-3m
Formation energy = 706 meV/atom
E above lowest polymorph = 629 meV per atom

a = 11.762 Å, b = 11.762 Å, c = 11.762 Å
α = 17.11°, β = 17.11°, γ = 17.11°
Fractional coordinates of all 4 atoms:
La 0.000 0.000 0.000
Gd 0.417 0.417 0.417
Gd 0.583 0.583 0.583
Be 0.500 0.500 0.500

=====

# 3
Here is La2GdBe after structural relaxation from Alexandria via LeMat-Bulk. Energies are from PBE-GGA.

Calculated values
Space group = P4/mmm
Formation energy = 121 meV/atom

a = 3.678 Å, b = 3.678 Å, c = 8.606 Å
α = 90.00°, β = 90.00°, γ = 90.00°
Fractional coordinates of all 4 atoms:
La 0.000 0.000 0.194
La 0.000 0.000 0.806
Gd 0.500 0.500 0.500
Be 0.500 0.500 0.000

=====

# 4
Here is LiGdLuBe after structural relaxation from Alexandria via LeMat-Bulk. Energies are from PBE-GGA.

Calculated values
Space group = F-43m
Formation energy = 130 meV/atom

a = 4.954 Å, b = 4.954 Å, c = 4.954 Å
α = 60.00°, β = 60.00°, γ = 60.00°
Fractional coordinates of all 4 atoms:
Li 0.000 0.000 0.000
Gd 0.250 0.250 0.250
Lu 0.750 0.750 0.750
Be 0.500 0.500 0.500

=====

# 5
Here is LiGdMgBe after structural relaxation from Alexandria via LeMat-Bulk. Energies are from PBE-GGA.

Calculated values
Space group = F-43m
Formation energy = 62 meV/atom

a = 4.771 Å, b = 4.771 Å, c = 4.771 Å
α = 60.00°, β = 60.00°, γ = 60.00°
Fractional coordinates of all 4 atoms:
Li 0.000 0.000 0.000
Gd 0.250 0.250 0.250
Mg 0.750 0.750 0.750
Be 0.500 0.500 0.500

=====

# 6
Here is LiPmGdBe after structural relaxation from Alexandria via LeMat-Bulk. Energies are from PBE-GGA.

Calculated values
Space group = F-43m
Formation energy = 143 meV/atom

a = 5.071 Å, b = 5.071 Å, c = 5.071 Å
α = 60.00°, β = 60.00°, γ = 60.00°
Fractional coordinates of all 4 atoms:
Li 0.000 0.000 0.000
Pm 0.750 0.750 0.750
Gd 0.250 0.250 0.250
Be 0.500 0.500 0.500

=====

- formation energy of number 4 (LiGdLuBe)?
  130 meV/atom

=====

- The lowest formation energy belongs to which entry?
  LiGdMgBe

=====

- Which of these has the lowest formation energy?
  LiGdMgBe